Material: MnTl3Te2O8
Method: DFT, PBE+U
State: optimized geometry

a = 6.1096 Å, b = 6.1096 Å, c = 7.7283 Å
α = 90.00°, β = 90.00°, γ = 120.00°
Last column: nearest neighbours and their distance in Å.
Sites, in units of the cell vectors:
Mn  0.0000  0.0000  0.0000  6 O 1.96
Tl  0.0000  0.0000  0.5000  6 O 3.05
Tl  0.3333  0.6667  0.2959  1 O 2.40
Tl  0.6667  0.3333  0.7041  1 O 2.40
Te  0.3333  0.6667  0.8484  4 O 1.87-2.00
Te  0.6667  0.3333  0.1516  4 O 1.87-2.00
O  0.1445  0.2889  0.8418  1 Mn 1.96, 1 Te 2.00
O  0.1445  0.8555  0.8418  1 Mn 1.96, 1 Te 2.00
O  0.2889  0.1445  0.1582  1 Mn 1.96, 1 Te 2.00
O  0.3333  0.6667  0.6066  1 Te 1.87
O  0.6667  0.3333  0.3934  1 Te 1.87
O  0.7111  0.8555  0.8418  1 Mn 1.96, 1 Te 2.00
O  0.8555  0.1445  0.1582  1 Mn 1.96, 1 Te 2.00
O  0.8555  0.7111  0.1582  1 Mn 1.96, 1 Te 2.00

DFT total energy: -72.41 eV for the cell shown
space group: P-3m1, No. 164
N(E_F): 3.52 states/eV/f.u.